[1]
A relaxed CaMn2Pd2 crystal, computed with PBE.

DOS at the Fermi energy = 14.923 states/eV per cell
total energy = -6.0261 eV/atom
ΔE_f = 0.119 eV per atom
magnetization = 0.000 μB/atom

Structure (CIF):
```
data_CaMn2Pd2
_chemical_formula_sum 'Ca2 Mn4 Pd4'
_cell_length_a 7.603
_cell_length_b 7.603
_cell_length_c 2.763
_cell_angle_alpha 90.00
_cell_angle_beta 90.00
_cell_angle_gamma 90.00
_symmetry_space_group_name_H-M 'P 4/m b m'
_symmetry_Int_Tables_number 127
_symmetry_space_group_name_Hall '-P 4 2ab'
loop_
_atom_site_label
_atom_site_fract_x
_atom_site_fract_y
_atom_site_fract_z
_atom_site_occupancy
Ca1 0.000 0.000 0.000 1
Mn1 0.090 0.410 0.000 1
Pd1 0.197 0.697 0.500 1
```

[2]
A relaxed CuPtRhO6 crystal, computed with PBE.

DOS at the Fermi energy = 15.481 states/eV per cell
total energy = -5.6567 eV/atom
uncorrected formation energy = -0.408 eV/atom
magnetization = 0.260 μB/atom

Structure (CIF):
```
data_CuPtRhO6
_chemical_formula_sum 'Cu2 Pt2 Rh2 O12'
_cell_length_a 5.1435
_cell_length_b 5.1435
_cell_length_c 8.6102
_cell_angle_alpha 90.00
_cell_angle_beta 90.00
_cell_angle_gamma 120.00
_symmetry_space_group_name_H-M 'P -3 1 c'
_symmetry_Int_Tables_number 163
_symmetry_space_group_name_Hall '-P 3 2c'
loop_
_atom_site_label
_atom_site_fract_x
_atom_site_fract_y
_atom_site_fract_z
_atom_site_occupancy
Cu1 0.0000 0.0000 0.0000 1
Pt1 0.3333 0.6667 0.2500 1
Rh1 0.3333 0.6667 0.7500 1
O1 0.0023 0.3533 0.6234 1
```

[3]
A relaxed Y3InO crystal, computed with PBE.

DOS at the Fermi energy = 5.210 states/eV per cell
total energy = -6.0347 eV/atom
uncorrected formation energy = -0.617 eV/atom
magnetization = 0.385 μB/atom

Structure (CIF):
```
data_Y3InO
_chemical_formula_sum 'Y3 In1 O1'
_cell_length_a 4.542
_cell_length_b 4.542
_cell_length_c 8.406
_cell_angle_alpha 90.00
_cell_angle_beta 90.00
_cell_angle_gamma 90.00
_symmetry_space_group_name_H-M 'P 4 m m'
_symmetry_Int_Tables_number 99
_symmetry_space_group_name_Hall 'P 4 -2'
loop_
_atom_site_label
_atom_site_fract_x
_atom_site_fract_y
_atom_site_fract_z
_atom_site_occupancy
Y1 0.000 0.000 0.000 1
Y2 0.000 0.500 0.655 1
In1 0.000 0.000 0.369 1
O1 0.500 0.500 0.642 1
```

[4]
A relaxed TcHg2P crystal, computed with PBE.

DOS at the Fermi energy = 3.615 states/eV per cell
total energy = -3.8567 eV/atom
ΔE_f = 0.238 eV per atom
magnetization = 0.000 μB/atom

Structure (CIF):
```
data_TcHg2P
_chemical_formula_sum 'Tc2 Hg4 P2'
_cell_length_a 3.167
_cell_length_b 4.995
_cell_length_c 10.547
_cell_angle_alpha 90.00
_cell_angle_beta 90.00
_cell_angle_gamma 90.00
_symmetry_space_group_name_H-M 'C m m 2'
_symmetry_Int_Tables_number 35
_symmetry_space_group_name_Hall 'C 2 -2'
loop_
_atom_site_label
_atom_site_fract_x
_atom_site_fract_y
_atom_site_fract_z
_atom_site_occupancy
Tc1 0.000 0.000 0.000 1
Hg1 0.000 0.000 0.536 1
Hg2 0.000 0.500 0.237 1
P1 0.000 0.500 0.846 1
```